# 1
Computed, not measured: a relaxed CdRe2Te crystal at the GGA-PBEsol level of DFT.

Output
The calculation puts the total moment at 0.0 μB per cell. The crystal system is monoclinic. The value obtained for the total energy is -7.2234 eV/atom. The calculation puts the formation energy (no corrections) at 0.623 eV/atom. The distance to the lowest polymorph of the same formula comes out at 0.000 eV per formula unit. As for the density of states at the Fermi level: 0.064 states/eV per atom.

The structure in CIF format:
```
data_CdRe2Te
_chemical_formula_sum 'Cd2 Re4 Te2'
_cell_length_a 7.199
_cell_length_b 4.067
_cell_length_c 6.805
_cell_angle_alpha 90.00
_cell_angle_beta 115.56
_cell_angle_gamma 90.00
_space_group_name_H-M_alt 'C 1 m 1'
_space_group_IT_number 8
_space_group_name_Hall 'C -2y'
loop_
_atom_site_label
_atom_site_type_symbol
_atom_site_fract_x
_atom_site_fract_y
_atom_site_fract_z
Cd1 Cd 0.000 0.000 0.000
Re1 Re 0.282 0.500 0.269
Re2 Re 0.484 0.000 0.355
Te1 Te 0.259 0.000 0.601
```

***

# 2
Computed, not measured: a relaxed LaScCu2 crystal at the GGA-PBEsol level of DFT.

Output
The calculation puts the total moment at 0.0 μB per cell. The crystal system is monoclinic. The value obtained for the total energy is -5.2724 eV/atom. The distance to the lowest polymorph of the same formula comes out at 0.188 eV per formula unit. The calculation puts the formation energy at -117 meV per atom. As for the density of states at the Fermi level: 1.001 states/eV per atom.

The structure in CIF format:
```
data_LaScCu2
_chemical_formula_sum 'La1 Sc1 Cu2'
_cell_length_a 3.611
_cell_length_b 4.340
_cell_length_c 5.508
_cell_angle_alpha 90.00
_cell_angle_beta 108.94
_cell_angle_gamma 90.00
_space_group_name_H-M_alt 'P 1 m 1'
_space_group_IT_number 6
_space_group_name_Hall 'P -2y'
loop_
_atom_site_label
_atom_site_type_symbol
_atom_site_fract_x
_atom_site_fract_y
_atom_site_fract_z
La1 La 0.000 0.000 0.000
Sc1 Sc 0.717 0.500 0.431
Cu1 Cu 0.279 0.000 0.554
Cu2 Cu 0.409 0.500 0.817
```

***

# 3
Computed, not measured: a relaxed PRh crystal at the GGA-PBEsol level of DFT.

Output
The calculation puts the total moment at 0.0 μB per cell. The crystal system is orthorhombic. The value obtained for the total energy is -7.3973 eV/atom. The calculation puts the formation energy at -432 meV per atom. As for the density of states at the Fermi level: 0.418 states/eV per atom.

The structure in CIF format:
```
data_PRh
_chemical_formula_sum 'P4 Rh4'
_cell_length_a 3.004
_cell_length_b 10.272
_cell_length_c 3.517
_cell_angle_alpha 90.00
_cell_angle_beta 90.00
_cell_angle_gamma 90.00
_space_group_name_H-M_alt 'C m c m'
_space_group_IT_number 63
_space_group_name_Hall '-C 2c 2'
loop_
_atom_site_label
_atom_site_type_symbol
_atom_site_fract_x
_atom_site_fract_y
_atom_site_fract_z
P1 P 0.000 0.164 0.250
Rh1 Rh 0.000 0.396 0.250
```

***

# 4
Computed, not measured: a relaxed ZnAgNO2 crystal at the GGA-PBEsol level of DFT.

Output
The calculation puts the total moment at 1.4 μB per cell. The crystal system is tetragonal. The value obtained for the total energy is -3.8083 eV/atom. The calculation puts the formation energy (no corrections) at 0.975 eV/atom. As for the density of states at the Fermi level: 0.291 states/eV per atom.

The structure in CIF format:
```
data_ZnAgNO2
_chemical_formula_sum 'Zn1 Ag1 N1 O2'
_cell_length_a 4.034
_cell_length_b 4.034
_cell_length_c 3.844
_cell_angle_alpha 90.00
_cell_angle_beta 90.00
_cell_angle_gamma 90.00
_space_group_name_H-M_alt 'P 4/m m m'
_space_group_IT_number 123
_space_group_name_Hall '-P 4 2'
loop_
_atom_site_label
_atom_site_type_symbol
_atom_site_fract_x
_atom_site_fract_y
_atom_site_fract_z
Zn1 Zn 0.000 0.000 0.000
Ag1 Ag 0.500 0.500 0.500
N1 N 0.500 0.500 0.000
O1 O 0.000 0.500 0.500
```

***

# 5
Computed, not measured: a relaxed Ho2In crystal at the GGA-PBEsol level of DFT.

Output
The calculation puts the total moment at 0.0 μB per cell. The crystal system is hexagonal. The value obtained for the total energy is -4.6801 eV/atom. The calculation puts the formation energy at -386 meV per atom. As for the density of states at the Fermi level: 1.189 states/eV per atom.

The structure in CIF format:
```
data_Ho2In
_chemical_formula_sum 'Ho4 In2'
_cell_length_a 5.2774
_cell_length_b 5.2774
_cell_length_c 6.5712
_cell_angle_alpha 90.00
_cell_angle_beta 90.00
_cell_angle_gamma 120.00
_space_group_name_H-M_alt 'P 63/m m c'
_space_group_IT_number 194
_space_group_name_Hall '-P 6c 2c'
loop_
_atom_site_label
_atom_site_type_symbol
_atom_site_fract_x
_atom_site_fract_y
_atom_site_fract_z
Ho1 Ho 0.0000 0.0000 0.0000
Ho2 Ho 0.3333 0.6667 0.2500
In1 In 0.3333 0.6667 0.7500
```

***

# 6
Computed, not measured: a relaxed LiZr crystal at the GGA-PBEsol level of DFT.

Output
The calculation puts the total moment at 0.0 μB per cell. The crystal system is hexagonal. The value obtained for the total energy is -4.5556 eV/atom. The distance to the lowest polymorph of the same formula comes out at 1.747 eV per formula unit. The calculation puts the formation energy at 973 meV per atom. As for the density of states at the Fermi level: 0.787 states/eV per atom.

The structure in CIF format:
```
data_LiZr
_chemical_formula_sum 'Li2 Zr2'
_cell_length_a 4.2514
_cell_length_b 4.2514
_cell_length_c 5.5358
_cell_angle_alpha 90.00
_cell_angle_beta 90.00
_cell_angle_gamma 120.00
_space_group_name_H-M_alt 'P 63/m m c'
_space_group_IT_number 194
_space_group_name_Hall '-P 6c 2c'
loop_
_atom_site_label
_atom_site_type_symbol
_atom_site_fract_x
_atom_site_fract_y
_atom_site_fract_z
Li1 Li 0.3333 0.6667 0.2500
Zr1 Zr 0.0000 0.0000 0.0000
```

***

# 7
Computed, not measured: a relaxed Li2ZrAl crystal at the GGA-PBEsol level of DFT.

Output
The calculation puts the total moment at 0.0 μB per cell. The crystal system is orthorhombic. The value obtained for the total energy is -4.1918 eV/atom. The calculation puts the formation energy at 87 meV per atom. As for the density of states at the Fermi level: 0.543 states/eV per atom.

The structure in CIF format:
```
data_Li2ZrAl
_chemical_formula_sum 'Li4 Zr2 Al2'
_cell_length_a 2.893
_cell_length_b 4.853
_cell_length_c 9.827
_cell_angle_alpha 90.00
_cell_angle_beta 90.00
_cell_angle_gamma 90.00
_space_group_name_H-M_alt 'I m m 2'
_space_group_IT_number 44
_space_group_name_Hall 'I 2 -2'
loop_
_atom_site_label
_atom_site_type_symbol
_atom_site_fract_x
_atom_site_fract_y
_atom_site_fract_z
Li1 Li 0.000 0.000 0.000
Li2 Li 0.000 0.500 0.264
Zr1 Zr 0.000 0.000 0.481
Al1 Al 0.000 0.500 0.719
```

***

# 8
Computed, not measured: a relaxed ReMoW2 crystal at the GGA-PBEsol level of DFT.

Output
The calculation puts the total moment at 0.0 μB per cell. The crystal system is cubic. The value obtained for the total energy is -13.1627 eV/atom. The distance to the lowest polymorph of the same formula comes out at 0.000 eV per formula unit. The calculation puts the formation energy at 16 meV per atom. As for the density of states at the Fermi level: 0.606 states/eV per atom.

The structure in CIF format:
```
data_ReMoW2
_chemical_formula_sum 'Re4 Mo4 W8'
_cell_length_a 6.255
_cell_length_b 6.255
_cell_length_c 6.255
_cell_angle_alpha 90.00
_cell_angle_beta 90.00
_cell_angle_gamma 90.00
_space_group_name_H-M_alt 'F m -3 m'
_space_group_IT_number 225
_space_group_name_Hall '-F 4 2 3'
loop_
_atom_site_label
_atom_site_type_symbol
_atom_site_fract_x
_atom_site_fract_y
_atom_site_fract_z
Re1 Re 0.000 0.000 0.000
Mo1 Mo 0.000 0.000 0.500
W1 W 0.250 0.250 0.250
```

***

# 9
Computed, not measured: a relaxed Y2CuPd2 crystal at the GGA-PBEsol level of DFT.

Output
The calculation puts the total moment at 0.0 μB per cell. The crystal system is tetragonal. The value obtained for the total energy is -6.5960 eV/atom. The calculation puts the formation energy at -617 meV per atom. As for the density of states at the Fermi level: 0.637 states/eV per atom.

The structure in CIF format:
```
data_Y2CuPd2
_chemical_formula_sum 'Y4 Cu2 Pd4'
_cell_length_a 7.225
_cell_length_b 7.225
_cell_length_c 3.820
_cell_angle_alpha 90.00
_cell_angle_beta 90.00
_cell_angle_gamma 90.00
_space_group_name_H-M_alt 'P 4/m b m'
_space_group_IT_number 127
_space_group_name_Hall '-P 4 2ab'
loop_
_atom_site_label
_atom_site_type_symbol
_atom_site_fract_x
_atom_site_fract_y
_atom_site_fract_z
Y1 Y 0.173 0.327 0.000
Cu1 Cu 0.000 0.000 0.500
Pd1 Pd 0.134 0.634 0.500
```

***

# 10
Computed, not measured: a relaxed PbI2Cl crystal at the GGA-PBEsol level of DFT.

Output
The calculation puts the total moment at 0.1 μB per cell. The crystal system is cubic. The value obtained for the total energy is -2.6408 eV/atom. The calculation puts the formation energy (no corrections) at -0.256 eV/atom. As for the density of states at the Fermi level: 1.919 states/eV per atom.

The structure in CIF format:
```
data_PbI2Cl
_chemical_formula_sum 'Pb4 I8 Cl4'
_cell_length_a 7.750
_cell_length_b 7.750
_cell_length_c 7.750
_cell_angle_alpha 90.00
_cell_angle_beta 90.00
_cell_angle_gamma 90.00
_space_group_name_H-M_alt 'F m -3 m'
_space_group_IT_number 225
_space_group_name_Hall '-F 4 2 3'
loop_
_atom_site_label
_atom_site_type_symbol
_atom_site_fract_x
_atom_site_fract_y
_atom_site_fract_z
Pb1 Pb 0.000 0.000 0.000
I1 I 0.250 0.250 0.250
Cl1 Cl 0.000 0.000 0.500
```

***

# 11
Computed, not measured: a relaxed SrZrCu crystal at the GGA-PBEsol level of DFT.

Output
The calculation puts the total moment at 0.5 μB per cell. The crystal system is trigonal. The value obtained for the total energy is -4.6238 eV/atom. The distance to the lowest polymorph of the same formula comes out at 0.186 eV per formula unit. The calculation puts the formation energy at 464 meV per atom. As for the density of states at the Fermi level: 1.268 states/eV per atom.

The structure in CIF format:
```
data_SrZrCu
_chemical_formula_sum 'Sr1 Zr1 Cu1'
_cell_length_a 3.5196
_cell_length_b 3.5196
_cell_length_c 7.0422
_cell_angle_alpha 90.00
_cell_angle_beta 90.00
_cell_angle_gamma 120.00
_space_group_name_H-M_alt 'P 3 m 1'
_space_group_IT_number 156
_space_group_name_Hall 'P 3 -2"'
loop_
_atom_site_label
_atom_site_type_symbol
_atom_site_fract_x
_atom_site_fract_y
_atom_site_fract_z
Sr1 Sr 0.0000 0.0000 0.0000
Zr1 Zr 0.3333 0.6667 0.5675
Cu1 Cu 0.6667 0.3333 0.3311
```

***

# 12
Computed, not measured: a relaxed BaSbPt3 crystal at the GGA-PBEsol level of DFT.

Output
The calculation puts the total moment at 0.0 μB per cell. The crystal system is cubic. The value obtained for the total energy is -5.6187 eV/atom. The calculation puts the formation energy (no corrections) at -0.099 eV/atom. As for the density of states at the Fermi level: 0.795 states/eV per atom.

The structure in CIF format:
```
data_BaSbPt3
_chemical_formula_sum 'Ba1 Sb1 Pt3'
_cell_length_a 5.015
_cell_length_b 5.015
_cell_length_c 5.015
_cell_angle_alpha 90.00
_cell_angle_beta 90.00
_cell_angle_gamma 90.00
_space_group_name_H-M_alt 'P m -3 m'
_space_group_IT_number 221
_space_group_name_Hall '-P 4 2 3'
loop_
_atom_site_label
_atom_site_type_symbol
_atom_site_fract_x
_atom_site_fract_y
_atom_site_fract_z
Ba1 Ba 0.000 0.000 0.000
Sb1 Sb 0.500 0.500 0.500
Pt1 Pt 0.000 0.500 0.500
```